[1]
VASP calculation (PBE) on an optimized crystal structure of LiC3.

Lattice parameters (Å, degrees): 6.921 6.921 2.572 90.00 90.00 144.43
Element x y z (fractional)
Li: 0.098 0.902 0.750
Li: 0.902 0.098 0.250
C: 0.080 0.583 0.250
C: 0.417 0.920 0.250
C: 0.487 0.513 0.750
C: 0.513 0.487 0.250
C: 0.583 0.080 0.750
C: 0.920 0.417 0.750

Calculated values
Final energy   -57.32 eV for the cell shown
Crystal system   orthorhombic
Polymorph energy (0 for the lowest one)   0 meV/atom
Theoretical density   1.99 g/cm3
Calculated formation energy   231.5 meV per atom
Space group   Cmcm

[2]
VASP calculation (PBE) on an optimized crystal structure of LiC2.

Lattice parameters (Å, degrees): 4.044 4.044 6.091 99.77 99.77 37.75
Element x y z (fractional)
Li: 0.000 0.000 0.000
Li: 0.699 0.699 0.760
C: 0.280 0.280 0.260
C: 0.349 0.349 0.495
C: 0.411 0.411 0.700
C: 0.745 0.745 0.146

Calculated values
Final energy   -37.96 eV for the cell shown
Crystal system   monoclinic
Polymorph energy (0 for the lowest one)   293 meV/atom
Theoretical density   1.71 g/cm3
Calculated formation energy   460.2 meV per atom
Space group   Cm

[3]
VASP calculation (PBE) on an optimized crystal structure of LiC2.

Lattice parameters (Å, degrees): 2.582 2.582 3.599 90.00 90.00 120.00
Element x y z (fractional)
Li: 0.000 0.000 0.000
C: 0.333 0.667 0.478
C: 0.667 0.333 0.522

Calculated values
Final energy   -19.79 eV for the cell shown
Crystal system   trigonal
Polymorph energy (0 for the lowest one)   23 meV/atom
Theoretical density   2.47 g/cm3
Calculated formation energy   190.2 meV per atom
Space group   P-3m1

[4]
VASP calculation (PBE) on an optimized crystal structure of Li5C.

Lattice parameters (Å, degrees): 4.615 4.615 4.769 90.00 90.00 120.00
Element x y z (fractional)
Li: 0.000 0.500 0.000
Li: 0.333 0.667 0.500
Li: 0.500 0.000 0.000
Li: 0.500 0.500 0.000
Li: 0.667 0.333 0.500
C: 0.000 0.000 0.500

Calculated values
Final energy   -13.12 eV for the cell shown
Crystal system   hexagonal
Polymorph energy (0 for the lowest one)   621 meV/atom
Theoretical density   0.88 g/cm3
Calculated formation energy   945.6 meV per atom
Space group   P6/mmm

[5]
VASP calculation (PBE) on an optimized crystal structure of Li5C.

Lattice parameters (Å, degrees): 3.940 7.851 7.851 20.08 90.00 90.00
Element x y z (fractional)
Li: 0.000 0.000 0.000
Li: 0.000 0.226 0.226
Li: 0.500 0.153 0.153
Li: 0.500 0.536 0.536
Li: 0.500 0.854 0.854
C: 0.000 0.610 0.610

Calculated values
Final energy   -16.29 eV for the cell shown
Crystal system   orthorhombic
Polymorph energy (0 for the lowest one)   92 meV/atom
Theoretical density   0.93 g/cm3
Calculated formation energy   416.4 meV per atom
Space group   Amm2

[6]
VASP calculation (PBE) on an optimized crystal structure of LiC3.

Lattice parameters (Å, degrees): 9.567 9.567 9.567 165.09 165.09 21.14
Element x y z (fractional)
Li: 0.150 0.150 0.000
Li: 0.850 0.850 0.000
C: 0.000 0.500 0.500
C: 0.250 0.750 0.500
C: 0.432 0.432 0.000
C: 0.500 0.000 0.500
C: 0.568 0.568 0.000
C: 0.750 0.250 0.500

Calculated values
Final energy   -42.70 eV for the cell shown
Crystal system   tetragonal
Polymorph energy (0 for the lowest one)   1827 meV/atom
Theoretical density   2.46 g/cm3
Calculated formation energy   2058.3 meV per atom
Space group   I4/mmm

> What is the polymorph energy (0 for the lowest one) in the fourth record?

621 meV/atom

> polymorph energy (0 for the lowest one) of number 4 (Li5C)?

621 meV/atom

Please write out number 6 again, unchanged.
VASP calculation (PBE) on an optimized crystal structure of LiC3.

Lattice parameters (Å, degrees): 9.567 9.567 9.567 165.09 165.09 21.14
Element x y z (fractional)
Li: 0.150 0.150 0.000
Li: 0.850 0.850 0.000
C: 0.000 0.500 0.500
C: 0.250 0.750 0.500
C: 0.432 0.432 0.000
C: 0.500 0.000 0.500
C: 0.568 0.568 0.000
C: 0.750 0.250 0.500

Calculated values
Final energy   -42.70 eV for the cell shown
Crystal system   tetragonal
Polymorph energy (0 for the lowest one)   1827 meV/atom
Theoretical density   2.46 g/cm3
Calculated formation energy   2058.3 meV per atom
Space group   I4/mmm